Compound: Ca2W
Source: Alexandria
Functional: PBEsol
Structure: optimized geometry

D(E_F) = 1.175 states/eV per atom
calculated formation energy = 1235.8 meV/atom

Cell: 7.555 7.694 2.913 Å, 90.00 90.00 90.00°
Space group Pnnm (No. 58)
Inequivalent atoms, fractional coordinates:
Ca 0.209 0.185 0.000 x4
W 0.000 0.500 0.000 x2



Compound: CaW3
Source: Alexandria
Functional: PBEsol
Structure: optimized geometry

D(E_F) = 0.885 states/eV per atom
calculated formation energy = 932.9 meV/atom

Cell: 2.643 4.704 5.644 Å, 90.00 90.00 90.00°
Space group Pmmm (No. 47)
Inequivalent atoms, fractional coordinates:
Ca 0.000 0.000 0.000 x1
W 0.000 0.000 0.500 x1
W 0.500 0.500 0.265 x2



Compound: CaW3
Source: Alexandria
Functional: PBEsol
Structure: optimized geometry

D(E_F) = 0.736 states/eV per atom
calculated formation energy = 939.7 meV/atom

Cell: 2.639 10.458 5.267 Å, 90.00 90.00 90.00°
Space group Imm2 (No. 44)
Inequivalent atoms, fractional coordinates:
Ca 0.000 0.000 0.000 x2
W 0.000 0.227 0.612 x4
W 0.000 0.500 0.998 x2



Compound: CaW
Source: Alexandria
Functional: PBEsol
Structure: optimized geometry

D(E_F) = 0.444 states/eV per atom
calculated formation energy = 836.6 meV/atom

Cell: 9.223 2.795 6.663 Å, 90.00 90.84 90.00°
Space group C2/m (No. 12)
Inequivalent atoms, fractional coordinates:
Ca 0.121 0.000 0.340 x4
W 0.125 0.500 0.920 x4



Compound: CaW2
Source: Alexandria
Functional: PBEsol
Structure: optimized geometry

D(E_F) = 0.863 states/eV per atom
calculated formation energy = 692.5 meV/atom

Cell: 3.286 3.286 11.215 Å, 90.00 90.00 90.00°
Space group I4/mmm (No. 139)
Inequivalent atoms, fractional coordinates:
Ca 0.000 0.000 0.000 x2
W 0.000 0.000 0.301 x4



Compound: Ca2W
Source: Alexandria
Functional: PBEsol
Structure: optimized geometry

D(E_F) = 1.651 states/eV per atom
calculated formation energy = 1797.7 meV/atom

Cell: 8.180 8.180 8.180 Å, 90.00 90.00 90.00°
Space group Fd-3m (No. 227, origin choice 2)
Inequivalent atoms, fractional coordinates:
Ca 0.000 0.000 0.000 x16
W 0.125 0.125 0.625 x8



Compound: CaW3
Source: Alexandria
Functional: PBEsol
Structure: optimized geometry

D(E_F) = 1.012 states/eV per atom
calculated formation energy = 794.3 meV/atom

Cell: 2.672 2.672 9.932 Å, 90.00 90.00 90.00°
Space group P4/mmm (No. 123)
Inequivalent atoms, fractional coordinates:
Ca 0.000 0.000 0.000 x1
W 0.000 0.000 0.500 x1
W 0.500 0.500 0.271 x2



Compound: CaY2W
Source: Alexandria
Functional: PBEsol
Structure: optimized geometry

D(E_F) = 1.739 states/eV per atom
calculated formation energy = 598.1 meV/atom

Cell: 3.4106 3.4106 32.5198 Å, 90.00 90.00 120.00°
Space group R-3m (No. 166, hexagonal axes)
Inequivalent atoms, fractional coordinates:
Ca 0.0000 0.0000 0.0000 x3
Y 0.0000 0.0000 0.2337 x6
W 0.0000 0.0000 0.5000 x3



Compound: CaY3W
Source: Alexandria
Functional: PBEsol
Structure: optimized geometry

D(E_F) = 0.955 states/eV per atom
calculated formation energy = 455.9 meV/atom

Cell: 5.446 5.446 5.446 Å, 90.00 90.00 90.00°
Space group Pm-3m (No. 221)
Inequivalent atoms, fractional coordinates:
Ca 0.000 0.000 0.000 x1
Y 0.000 0.500 0.500 x3
W 0.500 0.500 0.500 x1



Compound: CaYW2
Source: Alexandria
Functional: PBEsol
Structure: optimized geometry

D(E_F) = 0.933 states/eV per atom
calculated formation energy = 608.6 meV/atom

Cell: 3.453 5.151 10.073 Å, 90.00 90.00 90.00°
Space group Imm2 (No. 44)
Inequivalent atoms, fractional coordinates:
Ca 0.000 0.000 0.000 x2
Y 0.000 0.500 0.218 x2
W 0.000 0.000 0.443 x2
W 0.000 0.500 0.772 x2



Compound: CaYW2
Source: Alexandria
Functional: PBEsol
Structure: optimized geometry

D(E_F) = 0.885 states/eV per atom
calculated formation energy = 964.2 meV/atom

Cell: 10.394 2.775 5.588 Å, 90.00 93.45 90.00°
Space group C2/m (No. 12)
Inequivalent atoms, fractional coordinates:
Ca 0.000 0.000 0.000 x2
Y 0.000 0.500 0.500 x2
W 0.249 0.000 0.733 x4



Compound: CaY2W
Source: Alexandria
Functional: PBEsol
Structure: optimized geometry

D(E_F) = 0.869 states/eV per atom
calculated formation energy = 666.8 meV/atom

Cell: 4.553 4.656 9.359 Å, 90.00 90.00 90.00°
Space group Imm2 (No. 44)
Inequivalent atoms, fractional coordinates:
Ca 0.000 0.000 0.000 x2
Y 0.000 0.000 0.492 x2
Y 0.000 0.500 0.246 x2
W 0.000 0.500 0.751 x2



Compound: CaY2W
Source: Alexandria
Functional: PBEsol
Structure: optimized geometry

D(E_F) = 0.971 states/eV per atom
calculated formation energy = 651.4 meV/atom

Cell: 10.520 3.141 6.299 Å, 90.00 95.27 90.00°
Space group Cm (No. 8)
Inequivalent atoms, fractional coordinates:
Ca 0.000 0.000 0.000 x2
Y 0.236 0.000 0.699 x2
Y 0.480 0.000 0.448 x2
W 0.242 0.500 0.285 x2



Compound: Ca2ZnW
Source: Alexandria
Functional: PBEsol
Structure: optimized geometry

D(E_F) = 0.945 states/eV per atom
calculated formation energy = 846.9 meV/atom

Cell: 4.457 4.457 8.558 Å, 90.00 90.00 90.00°
Space group I-4m2 (No. 119)
Inequivalent atoms, fractional coordinates:
Ca 0.000 0.000 0.000 x2
Ca 0.000 0.500 0.250 x2
Zn 0.000 0.500 0.750 x2
W 0.000 0.000 0.500 x2



Compound: Ca2ZnW
Source: Alexandria
Functional: PBEsol
Structure: optimized geometry

D(E_F) = 0.947 states/eV per atom
calculated formation energy = 566.3 meV/atom

Cell: 2.916 2.916 9.717 Å, 90.00 90.00 90.00°
Space group P4/mmm (No. 123)
Inequivalent atoms, fractional coordinates:
Ca 0.000 0.000 0.249 x2
Zn 0.500 0.500 0.000 x1
W 0.500 0.500 0.500 x1



Compound: Ca8Y
Source: Alexandria
Functional: PBEsol
Structure: optimized geometry

D(E_F) = 1.379 states/eV per atom
calculated formation energy = 55.4 meV/atom

Cell: 11.428 11.428 5.398 Å, 90.00 90.00 90.00°
Space group I4/mmm (No. 139)
Inequivalent atoms, fractional coordinates:
Ca 0.000 0.330 0.000 x8
Ca 0.164 0.164 0.500 x8
Y 0.000 0.000 0.000 x2



Compound: CaY4
Source: Alexandria
Functional: PBEsol
Structure: optimized geometry

D(E_F) = 1.816 states/eV per atom
calculated formation energy = 104.4 meV/atom

Cell: 8.081 8.081 5.153 Å, 90.00 90.00 90.00°
Space group I4/m (No. 87)
Inequivalent atoms, fractional coordinates:
Ca 0.000 0.000 0.000 x2
Y 0.097 0.693 0.500 x8



Compound: CaY5
Source: Alexandria
Functional: PBEsol
Structure: optimized geometry

D(E_F) = 1.802 states/eV per atom
calculated formation energy = 50.7 meV/atom

Cell: 12.983 3.602 8.458 Å, 90.00 103.42 90.00°
Space group Cm (No. 8)
Inequivalent atoms, fractional coordinates:
Ca 0.000 0.000 0.000 x2
Y 0.117 0.500 0.714 x2
Y 0.171 0.500 0.339 x2
Y 0.274 0.000 0.059 x2
Y 0.332 0.000 0.661 x2
Y 0.444 0.500 0.394 x2



Compound: Ca7Y
Source: Alexandria
Functional: PBEsol
Structure: optimized geometry

D(E_F) = 1.498 states/eV per atom
calculated formation energy = 66.5 meV/atom

Cell: 10.747 10.747 10.747 Å, 90.00 90.00 90.00°
Space group Fm-3m (No. 225)
Inequivalent atoms, fractional coordinates:
Ca 0.000 0.000 0.000 x4
Ca 0.000 0.250 0.250 x24
Y 0.000 0.000 0.500 x4



Compound: Ca2Y
Source: Alexandria
Functional: PBEsol
Structure: optimized geometry

D(E_F) = 1.869 states/eV per atom
calculated formation energy = 100.8 meV/atom

Cell: 3.6830 3.6830 9.2530 Å, 90.00 90.00 120.00°
Space group P-3m1 (No. 164)
Inequivalent atoms, fractional coordinates:
Ca 0.3333 0.6667 0.3253 x2
Y 0.0000 0.0000 0.0000 x1